Model i:
Below is InPbAu6 after structural relaxation, with properties calculated at the PBE-GGA level.

Output
total magnetic moment	0.00	μB/f.u.
theoretical density	15.36	Mg/m³

Geometry as CIF:
```
data_InPbAu6
_chemical_formula_sum 'In1 Pb1 Au6'
_cell_length_a 4.616
_cell_length_b 5.542
_cell_length_c 6.353
_cell_angle_alpha 90.00
_cell_angle_beta 90.00
_cell_angle_gamma 90.00
_space_group_name_H-M_alt 'P 1'
_space_group_IT_number 1
_space_group_name_Hall 'P 1'
loop_
_atom_site_label
_atom_site_type_symbol
_atom_site_fract_x
_atom_site_fract_y
_atom_site_fract_z
In1 In 0.500 0.361 0.500
Pb1 Pb 0.000 0.657 0.000
Au1 Au 0.500 0.844 0.267
Au2 Au 0.000 0.173 0.733
Au3 Au 0.000 0.173 0.267
Au4 Au 0.500 0.844 0.733
Au5 Au 0.000 0.679 0.500
Au6 Au 0.500 0.269 0.000
```

=====

Model ii:
Below is InPbAu6 after structural relaxation, with properties calculated at the PBE-GGA level.

Output
total magnetic moment	0.00	μB/f.u.
theoretical density	15.66	Mg/m³

Geometry as CIF:
```
data_InPbAu6
_chemical_formula_sum 'In1 Pb1 Au6'
_cell_length_a 4.310
_cell_length_b 4.310
_cell_length_c 8.583
_cell_angle_alpha 90.00
_cell_angle_beta 90.00
_cell_angle_gamma 90.00
_space_group_name_H-M_alt 'P 1'
_space_group_IT_number 1
_space_group_name_Hall 'P 1'
loop_
_atom_site_label
_atom_site_type_symbol
_atom_site_fract_x
_atom_site_fract_y
_atom_site_fract_z
In1 In 0.000 0.000 0.500
Pb1 Pb 0.000 0.000 0.000
Au1 Au 0.500 0.500 0.000
Au2 Au 0.500 0.500 0.500
Au3 Au 0.500 0.000 0.263
Au4 Au 0.500 0.000 0.737
Au5 Au 0.000 0.500 0.263
Au6 Au 0.000 0.500 0.737
```

=====

Which of them is the most stable? Correct choice: model i.

=====

Model i:
Below is InPb3Au3 after structural relaxation, with properties calculated at the PBE-GGA level.

Output
total magnetic moment	0.00	μB/f.u.
theoretical density	12.21	Mg/m³

Geometry as CIF:
```
data_InPb3Au3
_chemical_formula_sum 'In2 Pb6 Au6'
_cell_length_a 7.041
_cell_length_b 7.041
_cell_length_c 7.329
_cell_angle_alpha 89.09
_cell_angle_beta 89.09
_cell_angle_gamma 96.22
_space_group_name_H-M_alt 'P 1'
_space_group_IT_number 1
_space_group_name_Hall 'P 1'
loop_
_atom_site_label
_atom_site_type_symbol
_atom_site_fract_x
_atom_site_fract_y
_atom_site_fract_z
In1 In 0.761 0.761 0.824
In2 In 0.239 0.239 0.176
Pb1 Pb 0.584 0.584 0.301
Pb2 Pb 0.161 0.839 0.500
Pb3 Pb 0.839 0.161 0.500
Pb4 Pb 0.253 0.747 0.000
Pb5 Pb 0.747 0.253 0.000
Pb6 Pb 0.416 0.416 0.699
Au1 Au 0.896 0.896 0.171
Au2 Au 0.008 0.494 0.720
Au3 Au 0.494 0.008 0.720
Au4 Au 0.992 0.506 0.280
Au5 Au 0.506 0.992 0.280
Au6 Au 0.104 0.104 0.829
```

=====

Model ii:
Below is InPb3Au3 after structural relaxation, with properties calculated at the PBE-GGA level.

Output
total magnetic moment	0.00	μB/f.u.
theoretical density	12.54	Mg/m³

Geometry as CIF:
```
data_InPb3Au3
_chemical_formula_sum 'In4 Pb12 Au12'
_cell_length_a 5.975
_cell_length_b 8.520
_cell_length_c 14.219
_cell_angle_alpha 103.85
_cell_angle_beta 90.00
_cell_angle_gamma 90.00
_space_group_name_H-M_alt 'P 1'
_space_group_IT_number 1
_space_group_name_Hall 'P 1'
loop_
_atom_site_label
_atom_site_type_symbol
_atom_site_fract_x
_atom_site_fract_y
_atom_site_fract_z
In1 In 0.468 0.815 0.940
In2 In 0.032 0.815 0.440
In3 In 0.968 0.185 0.560
In4 In 0.532 0.185 0.060
Pb1 Pb 0.992 0.053 0.873
Pb2 Pb 0.508 0.053 0.373
Pb3 Pb 0.224 0.607 0.717
Pb4 Pb 0.755 0.562 0.554
Pb5 Pb 0.276 0.607 0.217
Pb6 Pb 0.745 0.562 0.054
Pb7 Pb 0.255 0.438 0.946
Pb8 Pb 0.724 0.393 0.783
Pb9 Pb 0.245 0.438 0.446
Pb10 Pb 0.776 0.393 0.283
Pb11 Pb 0.492 0.947 0.627
Pb12 Pb 0.008 0.947 0.127
Au1 Au 0.001 0.905 0.648
Au2 Au 0.499 0.905 0.148
Au3 Au 0.998 0.726 0.918
Au4 Au 0.502 0.726 0.418
Au5 Au 0.697 0.747 0.760
Au6 Au 0.803 0.747 0.260
Au7 Au 0.197 0.253 0.740
Au8 Au 0.303 0.253 0.240
Au9 Au 0.498 0.274 0.582
Au10 Au 0.002 0.274 0.082
Au11 Au 0.501 0.095 0.852
Au12 Au 0.999 0.095 0.352
```

=====

Which of them is the most stable? Correct choice: model ii.

=====

Model i:
Below is In2PdAu8 after structural relaxation, with properties calculated at the PBE-GGA level.

Output
total magnetic moment	0.00	μB/f.u.
theoretical density	15.57	Mg/m³

Geometry as CIF:
```
data_In2PdAu8
_chemical_formula_sum 'In2 Pd1 Au8'
_cell_length_a 4.254
_cell_length_b 6.683
_cell_length_c 7.814
_cell_angle_alpha 72.83
_cell_angle_beta 74.56
_cell_angle_gamma 89.87
_space_group_name_H-M_alt 'P 1'
_space_group_IT_number 1
_space_group_name_Hall 'P 1'
loop_
_atom_site_label
_atom_site_type_symbol
_atom_site_fract_x
_atom_site_fract_y
_atom_site_fract_z
In1 In 0.279 0.344 0.411
In2 In 0.720 0.657 0.528
Pd1 Pd 0.999 0.000 0.970
Au1 Au 0.910 0.552 0.152
Au2 Au 0.171 0.908 0.623
Au3 Au 0.362 0.812 0.249
Au4 Au 0.461 0.266 0.049
Au5 Au 0.637 0.189 0.691
Au6 Au 0.828 0.093 0.317
Au7 Au 0.089 0.449 0.788
Au8 Au 0.538 0.734 0.891
```

=====

Model ii:
Below is In2PdAu8 after structural relaxation, with properties calculated at the PBE-GGA level.

Output
total magnetic moment	0.00	μB/f.u.
theoretical density	14.12	Mg/m³

Geometry as CIF:
```
data_In2PdAu8
_chemical_formula_sum 'In2 Pd1 Au8'
_cell_length_a 4.055
_cell_length_b 7.879
_cell_length_c 8.350
_cell_angle_alpha 61.85
_cell_angle_beta 82.02
_cell_angle_gamma 72.88
_space_group_name_H-M_alt 'P 1'
_space_group_IT_number 1
_space_group_name_Hall 'P 1'
loop_
_atom_site_label
_atom_site_type_symbol
_atom_site_fract_x
_atom_site_fract_y
_atom_site_fract_z
In1 In 0.000 0.322 0.356
In2 In 0.000 0.678 0.644
Pd1 Pd 0.500 0.000 0.000
Au1 Au 0.895 0.090 0.207
Au2 Au 0.895 0.296 0.793
Au3 Au 0.317 0.371 0.000
Au4 Au 0.500 0.804 0.393
Au5 Au 0.500 0.196 0.607
Au6 Au 0.683 0.629 0.000
Au7 Au 0.105 0.704 0.207
Au8 Au 0.105 0.910 0.793
```

=====

Which of them is the most stable? Correct choice: model i.

=====

Model i:
Below is InPd2Au3 after structural relaxation, with properties calculated at the PBE-GGA level.

Output
total magnetic moment	0.00	μB/f.u.
theoretical density	14.54	Mg/m³

Geometry as CIF:
```
data_InPd2Au3
_chemical_formula_sum 'In2 Pd4 Au6'
_cell_length_a 5.069
_cell_length_b 5.069
_cell_length_c 9.171
_cell_angle_alpha 101.06
_cell_angle_beta 101.06
_cell_angle_gamma 109.33
_space_group_name_H-M_alt 'P 1'
_space_group_IT_number 1
_space_group_name_Hall 'P 1'
loop_
_atom_site_label
_atom_site_type_symbol
_atom_site_fract_x
_atom_site_fract_y
_atom_site_fract_z
In1 In 0.125 0.875 0.250
In2 In 0.875 0.125 0.750
Pd1 Pd 0.044 0.294 0.085
Pd2 Pd 0.706 0.956 0.415
Pd3 Pd 0.956 0.706 0.915
Pd4 Pd 0.294 0.044 0.585
Au1 Au 0.209 0.459 0.419
Au2 Au 0.541 0.791 0.081
Au3 Au 0.791 0.541 0.581
Au4 Au 0.459 0.209 0.919
Au5 Au 0.625 0.375 0.250
Au6 Au 0.375 0.625 0.750
```

=====

Model ii:
Below is InPd2Au3 after structural relaxation, with properties calculated at the PBE-GGA level.

Output
total magnetic moment	0.00	μB/f.u.
theoretical density	14.17	Mg/m³

Geometry as CIF:
```
data_InPd2Au3
_chemical_formula_sum 'In2 Pd4 Au6'
_cell_length_a 5.476
_cell_length_b 5.476
_cell_length_c 7.370
_cell_angle_alpha 81.83
_cell_angle_beta 81.83
_cell_angle_gamma 94.86
_space_group_name_H-M_alt 'P 1'
_space_group_IT_number 1
_space_group_name_Hall 'P 1'
loop_
_atom_site_label
_atom_site_type_symbol
_atom_site_fract_x
_atom_site_fract_y
_atom_site_fract_z
In1 In 0.902 0.098 0.250
In2 In 0.098 0.902 0.750
Pd1 Pd 0.120 0.632 0.123
Pd2 Pd 0.368 0.880 0.377
Pd3 Pd 0.880 0.368 0.877
Pd4 Pd 0.632 0.120 0.623
Au1 Au 0.838 0.671 0.490
Au2 Au 0.329 0.162 0.010
Au3 Au 0.162 0.329 0.510
Au4 Au 0.671 0.838 0.990
Au5 Au 0.569 0.431 0.250
Au6 Au 0.431 0.569 0.750
```

=====

Which of them is the most stable? Correct choice: model i.